1.
A relaxed Zr2Ta2Ag crystal, computed with GGA-PBE.

Computed properties:
* total magnetic moment: 0.00 μB/cell
* ΔH_f (0 K): 0.31 eV per atom

Cell lengths 7.3105, 7.3105, 3.9178 Å; angles 90.00, 90.00, 90.00 degrees
Element x y z (fractional)
Zr: 0.1686 0.6686 0.5000
Zr: 0.6686 0.8314 0.5000
Zr: 0.8314 0.3314 0.5000
Zr: 0.3314 0.1686 0.5000
Ag: 0.0000 0.0000 0.0000
Ag: 0.5000 0.5000 0.0000
Ta: 0.3714 0.8714 0.0000
Ta: 0.8714 0.6286 0.0000
Ta: 0.6286 0.1286 0.0000
Ta: 0.1286 0.3714 0.0000

2.
A relaxed ZrTaAg2 crystal, computed with GGA-PBE.

Computed properties:
* distance to the lowest polymorph of the same formula: 0.0000 eV per atom
* total magnetic moment: 0.00 μB/cell
* ΔH_f (0 K): 0.07 eV per atom

Cell lengths 2.9522, 2.9522, 8.7677 Å; angles 90.00, 90.00, 90.54 degrees
Element x y z (fractional)
Ag: 0.0000 0.0000 0.0103
Ag: 0.5000 0.5000 0.2498
Ta: 0.0000 0.0000 0.4932
Zr: 0.5000 0.5000 0.7468

3.
A relaxed ZrTaAg2 crystal, computed with GGA-PBE.

Computed properties:
* distance to the lowest polymorph of the same formula: 0.1530 eV per atom
* total magnetic moment: 0.00 μB/cell
* ΔH_f (0 K): 0.22 eV per atom

Cell lengths 4.3839, 4.1334, 4.1334 Å; angles 90.00, 90.00, 90.00 degrees
Element x y z (fractional)
Ag: 0.0000 0.0000 0.0000
Ag: 0.0000 0.5000 0.5000
Ta: 0.5000 0.5000 0.0000
Zr: 0.5000 0.0000 0.5000

4.
A relaxed Zr2TaAg crystal, computed with GGA-PBE.

Computed properties:
* distance to the lowest polymorph of the same formula: 0.6689 eV per atom
* total magnetic moment: 0.00 μB/cell
* ΔH_f (0 K): 0.67 eV per atom

Cell lengths 4.1397, 4.1397, 10.4800 Å; angles 78.61, 78.61, 90.00 degrees
Element x y z (fractional)
Zr: 0.6314 0.1250 0.2500
Zr: 0.1186 0.6250 0.2500
Zr: 0.3750 0.3686 0.7500
Zr: 0.8750 0.8814 0.7500
Ag: 0.5000 0.5000 0.0000
Ag: 0.2500 0.7500 0.5000
Ta: 0.0000 0.0000 0.0000
Ta: 0.7500 0.2500 0.5000

5.
A relaxed ZrTaAg2 crystal, computed with GGA-PBE.

Computed properties:
* distance to the lowest polymorph of the same formula: 0.1596 eV per atom
* total magnetic moment: 0.00 μB/cell
* ΔH_f (0 K): 0.23 eV per atom

Cell lengths 5.2603, 5.2603, 5.2603 Å; angles 133.62, 133.62, 67.67 degrees
Element x y z (fractional)
Ag: 0.0000 0.0000 0.0000
Ag: 0.5000 0.5000 0.0000
Ta: 0.2500 0.7500 0.5000
Zr: 0.7500 0.2500 0.5000

6.
A relaxed TbAg6 crystal, computed with GGA-PBE.

Computed properties:
* distance to the lowest polymorph of the same formula: 0.0000 eV per atom
* total magnetic moment: 0.00 μB/cell
* ΔH_f (0 K): -0.09 eV per atom

Cell lengths 5.6645, 8.9035, 11.2248 Å; angles 90.00, 90.00, 90.00 degrees
Element x y z (fractional)
Tb: 0.7500 0.2430 0.9305
Tb: 0.2500 0.7570 0.0695
Tb: 0.7500 0.7430 0.5695
Tb: 0.2500 0.2570 0.4305
Ag: 0.7500 0.6076 0.0204
Ag: 0.2500 0.3924 0.9796
Ag: 0.7500 0.1076 0.4796
Ag: 0.2500 0.8924 0.5204
Ag: 0.0089 0.4394 0.1920
Ag: 0.5089 0.5606 0.8080
Ag: 0.4911 0.9394 0.3080
Ag: 0.9911 0.0606 0.6920
Ag: 0.9911 0.5606 0.8080
Ag: 0.4911 0.4394 0.1920
Ag: 0.5089 0.0606 0.6920
Ag: 0.0089 0.9394 0.3080
Ag: 0.2500 0.1476 0.1518
Ag: 0.7500 0.8524 0.8482
Ag: 0.2500 0.6476 0.3482
Ag: 0.7500 0.3524 0.6518
Ag: 0.2500 0.8132 0.7660
Ag: 0.7500 0.1868 0.2340
Ag: 0.2500 0.3132 0.7340
Ag: 0.7500 0.6868 0.2660
Ag: 0.2500 0.5640 0.5834
Ag: 0.7500 0.4360 0.4166
Ag: 0.2500 0.0640 0.9166
Ag: 0.7500 0.9360 0.0834

7.
A relaxed Tb3Ag2 crystal, computed with GGA-PBE.

Computed properties:
* distance to the lowest polymorph of the same formula: 0.0000 eV per atom
* total magnetic moment: 0.00 μB/cell
* ΔH_f (0 K): -0.24 eV per atom

Cell lengths 3.6239, 3.6239, 19.7647 Å; angles 90.00, 90.00, 90.00 degrees
Element x y z (fractional)
Tb: 0.0000 0.0000 0.8741
Tb: 0.0000 0.0000 0.1259
Tb: 0.0000 0.0000 0.3122
Tb: 0.0000 0.0000 0.5000
Tb: 0.0000 0.0000 0.6878
Tb: 0.5000 0.5000 0.0000
Ag: 0.5000 0.5000 0.2187
Ag: 0.5000 0.5000 0.4065
Ag: 0.5000 0.5000 0.5935
Ag: 0.5000 0.5000 0.7813

8.
A relaxed Tb3Ag8 crystal, computed with GGA-PBE.

Computed properties:
* total magnetic moment: 0.00 μB/cell
* ΔH_f (0 K): -0.21 eV per atom

Cell lengths 4.7735, 4.7849, 13.2792 Å; angles 110.86, 90.00, 119.92 degrees
Element x y z (fractional)
Tb: 0.0000 0.0000 0.0000
Tb: 0.9036 0.8072 0.3571
Tb: 0.0964 0.1928 0.6429
Ag: 0.7372 0.4744 0.1064
Ag: 0.2628 0.5256 0.8936
Ag: 0.5569 0.1138 0.8342
Ag: 0.4431 0.8862 0.1658
Ag: 0.8372 0.6744 0.7537
Ag: 0.1628 0.3256 0.2463
Ag: 0.6712 0.3424 0.5068
Ag: 0.3288 0.6576 0.4932

9.
A relaxed TbAg crystal, computed with GGA-PBE.

Computed properties:
* total magnetic moment: 0.00 μB/cell
* ΔH_f (0 K): -0.28 eV per atom

Cell lengths 3.7140, 4.8500, 5.8506 Å; angles 90.00, 108.03, 90.00 degrees
Element x y z (fractional)
Tb: 0.6407 0.2500 0.2863
Tb: 0.3593 0.7500 0.7137
Ag: 0.9216 0.2500 0.8407
Ag: 0.0784 0.7500 0.1593

10.
A relaxed Tb3Ag4 crystal, computed with GGA-PBE.

Computed properties:
* total magnetic moment: 0.00 μB/cell
* ΔH_f (0 K): -0.09 eV per atom

Cell lengths 5.0511, 5.0511, 8.8281 Å; angles 73.38, 73.38, 60.00 degrees
Element x y z (fractional)
Tb: 0.2434 0.2434 0.2698
Tb: 0.7566 0.7566 0.7302
Tb: 0.0000 0.0000 0.0000
Ag: 0.6310 0.6310 0.1070
Ag: 0.8781 0.8781 0.3657
Ag: 0.1219 0.1219 0.6343
Ag: 0.3690 0.3690 0.8930

11.
A relaxed Tb5Ag6 crystal, computed with GGA-PBE.

Computed properties:
* total magnetic moment: 0.00 μB/cell
* ΔH_f (0 K): -0.17 eV per atom

Cell lengths 5.0482, 7.3923, 8.8956 Å; angles 114.55, 107.74, 90.00 degrees
Element x y z (fractional)
Tb: 0.0000 0.5000 0.0000
Tb: 0.6690 0.6716 0.3433
Tb: 0.3310 0.3284 0.6567
Tb: 0.3585 0.8493 0.6985
Tb: 0.6415 0.1507 0.3015
Ag: 0.4999 0.7258 0.9999
Ag: 0.5001 0.2742 0.0001
Ag: 0.8302 0.0889 0.6510
Ag: 0.8303 0.5625 0.6513
Ag: 0.1698 0.9111 0.3490
Ag: 0.1697 0.4375 0.3487

12.
A relaxed TbAg crystal, computed with GGA-PBE.

Computed properties:
* total magnetic moment: 0.00 μB/cell
* ΔH_f (0 K): -0.06 eV per atom

Cell lengths 4.2691, 4.2691, 4.2691 Å; angles 60.00, 60.00, 60.00 degrees
Element x y z (fractional)
Tb: 0.5000 0.5000 0.5000
Ag: 0.0000 0.0000 0.0000

no.,E_tot (eV per atom)
1,-8.42
2,-6.46
3,-6.31
4,-7.28
5,-6.30
6,-3.20
7,-4.16
8,-3.55
9,-4.02
10,-3.71
11,-3.83
12,-3.80